TaNF2 | PBEsol | relaxed

## Properties
The calculation puts the uncorrected formation energy at -0.17 eV per atom. The calculation puts the volume at 18.499 Å³ per atom. The total moment is 8.99 μB/cell. The density of states at the Fermi level comes out at 0.2822 states/eV per atom.

Lattice parameters (Å, degrees): 3.0602 3.0602 27.3707 90.00 90.00 120.00
Last column: nearest neighbours and their distance in Å.
Space group R-3m (No. 166, hexagonal axes)
One atom of each set of equivalent atoms:
Ta (0.0000, 0.0000, 0.0000) x3  2 F 1.86
N (0.0000, 0.0000, 0.5000) x3  6 N 3.06, 6 F 3.23
F (0.0000, 0.0000, 0.0679) x6  1 Ta 1.86